First-principles (PBE) data for a relaxed structure of TiSnIr2N, as listed in Alexandria via LeMat-Bulk.

POSCAR file:
```
TiSnIr2N
1.0
3.997 0.000 0.000
0.000 3.997 0.000
0.000 0.000 4.931
Ti Sn Ir N
1 1 2 1
Cartesian
0.000 0.000 0.000 Ti
1.999 1.999 0.000 Sn
0.000 1.999 2.465 Ir
1.999 0.000 2.465 Ir
1.999 1.999 2.465 N
```

Computed properties:
* E_tot: -7.242 eV/atom